First-principles (PBE) data for a relaxed LaV3Ir crystal, as listed in Alexandria via LeMat-Bulk.

Structure (CIF):
```
data_LaV3Ir
_space_group_name_H-M_alt 'P m -3 m'
_space_group_IT_number 221
_space_group_name_Hall '-P 4 2 3'
_cell_length_a 4.4776
_cell_length_b 4.4776
_cell_length_c 4.4776
_cell_angle_alpha 90.00
_cell_angle_beta 90.00
_cell_angle_gamma 90.00
loop_
_atom_site_label
_atom_site_type_symbol
_atom_site_fract_x
_atom_site_fract_y
_atom_site_fract_z
_atom_site_occupancy
La1 La 0.0000 0.0000 0.0000 1
V1 V 0.0000 0.0000 0.5000 1
Ir1 Ir 0.5000 0.5000 0.5000 1
```

Computed properties:
**DFT formation energy**: 1738 meV per atom
**Total DFT energy (no corrections)**: -6.491 eV per atom

=====

First-principles (PBE) data for a relaxed LaV2Ir2 crystal, as listed in Alexandria via LeMat-Bulk.

Structure (CIF):
```
data_LaV2Ir2
_space_group_name_H-M_alt 'I 4/m m m'
_space_group_IT_number 139
_space_group_name_Hall '-I 4 2'
_cell_length_a 4.2825
_cell_length_b 4.2825
_cell_length_c 10.4061
_cell_angle_alpha 90.00
_cell_angle_beta 90.00
_cell_angle_gamma 90.00
loop_
_atom_site_label
_atom_site_type_symbol
_atom_site_fract_x
_atom_site_fract_y
_atom_site_fract_z
_atom_site_occupancy
La1 La 0.0000 0.0000 0.0000 1
V1 V 0.0000 0.5000 0.2500 1
Ir1 Ir 0.0000 0.0000 0.3689 1
```

Computed properties:
**DFT formation energy**: -524 meV per atom
**Total DFT energy (no corrections)**: -8.702 eV per atom

=====

First-principles (PBE) data for a relaxed LaVIrW2 crystal, as listed in Alexandria via LeMat-Bulk.

Structure (CIF):
```
data_LaVIrW2
_space_group_name_H-M_alt 'P 4/m m m'
_space_group_IT_number 123
_space_group_name_Hall '-P 4 2'
_cell_length_a 4.7312
_cell_length_b 4.7312
_cell_length_c 4.4089
_cell_angle_alpha 90.00
_cell_angle_beta 90.00
_cell_angle_gamma 90.00
loop_
_atom_site_label
_atom_site_type_symbol
_atom_site_fract_x
_atom_site_fract_y
_atom_site_fract_z
_atom_site_occupancy
La1 La 0.0000 0.0000 0.0000 1
V1 V 0.0000 0.0000 0.5000 1
Ir1 Ir 0.5000 0.5000 0.5000 1
W1 W 0.0000 0.5000 0.0000 1
```

Computed properties:
**DFT formation energy**: 2562 meV per atom
**Total DFT energy (no corrections)**: -7.201 eV per atom

=====

First-principles (PBE) data for a relaxed LaIr2W crystal, as listed in Alexandria via LeMat-Bulk.

Structure (CIF):
```
data_LaIr2W
_space_group_name_H-M_alt 'P 1 m 1'
_space_group_IT_number 6
_space_group_name_Hall 'P -2y'
_cell_length_a 2.9785
_cell_length_b 4.8123
_cell_length_c 5.2622
_cell_angle_alpha 90.00
_cell_angle_beta 100.00
_cell_angle_gamma 90.00
loop_
_atom_site_label
_atom_site_type_symbol
_atom_site_fract_x
_atom_site_fract_y
_atom_site_fract_z
_atom_site_occupancy
La1 La 0.0000 0.0000 0.0000 1
Ir1 Ir 0.3803 0.0000 0.5043 1
Ir2 Ir 0.4570 0.5000 0.8707 1
W1 W 0.7746 0.5000 0.4138 1
```

Computed properties:
**DFT formation energy**: -28 meV per atom
**Total DFT energy (no corrections)**: -8.928 eV per atom